Entry from Alexandria via LeMat-Bulk: an optimized crystal structure of BeFePbO4 (GGA+U).

The structure in POSCAR format:
```
BeFePbO4
1.0
5.8962 0.0001 0.0000
2.9482 5.2614 -0.0536
2.9482 1.5518 5.0276
Be Fe Pb O
2 2 2 8
direct
0.6350 0.6150 0.1150
0.3650 0.3850 0.8850
0.5000 0.0000 0.5000
0.0000 0.0000 0.5000
0.0000 0.0000 0.0000
0.0000 0.5000 0.5000
0.7413 0.7483 0.7691
0.2587 0.7309 0.7517
0.7413 0.2691 0.2483
0.2587 0.2517 0.2309
0.2731 0.7458 0.2458
0.7354 0.7458 0.2458
0.2646 0.2542 0.7542
0.7269 0.2542 0.7542
```

Its total magnetization is 8.043 μB/cell. The space group is No. 74. As for the energy: -6.052 eV per atom.